Below is a relaxed structure of LiCr2O4, with properties calculated at the GGA-PBEsol level.

a = 8.1608 Å, b = 8.1608 Å, c = 8.1608 Å
α = 90.00°, β = 90.00°, γ = 90.00°
Last column: nearest neighbours and their distance in Å.
Space group Fd-3m (No. 227, origin choice 2)
Unique sites:
Li: 0.1250 0.1250 0.1250 (multiplicity 8)  4 O 1.95
Cr: 0.0000 0.0000 0.5000 (multiplicity 16)  6 O 1.94
O: 0.0128 0.0128 0.7372 (multiplicity 32)  3 Cr 1.94, 1 Li 1.95

## Properties
V   543.50 Å³/cell
Formation energy (no corrections)   -2.01 eV per atom
Raw total energy   -8.2195 eV/atom
Total magnetic moment   5.00 μB per formula unit
ΔE to the lowest computed polymorph   0 kJ/mol of formula units